Material: BaSb5
Method: DFT, PBE-GGA
State: optimized geometry

POSCAR file:
```
BaSb5
1.0
4.7775 0.2449 0.0000
-1.4917 6.8726 0.0000
0.0000 0.0000 12.2589
Sb Ba
10 2
Direct
0.2303 0.6666 0.7500 Sb
0.2619 0.0639 0.0641 Sb
0.1972 0.4811 0.4120 Sb
0.7381 0.9361 0.5641 Sb
0.1972 0.4811 0.0880 Sb
0.7697 0.3334 0.2500 Sb
0.8028 0.5189 0.5880 Sb
0.7381 0.9361 0.9359 Sb
0.2619 0.0639 0.4359 Sb
0.8028 0.5189 0.9120 Sb
0.6915 0.8199 0.2500 Ba
0.3085 0.1801 0.7500 Ba
```

V: 33.92 A^3/atom
Excess energy over the best structure of this formula in the dataset: 0.000 eV/atom
Density of states at the Fermi level: 3.816 states/eV/cell
ρ: 6.09 g cm⁻³
E: -4.0594 eV/atom
Space-group type: No. 11
Raw formation energy: -1.82 eV per formula unit